PBE Be2GaSeBr, relaxed; mass density = 3.9 g cm⁻³; formation energy (no corrections) = 61.8 kJ per mole of atoms
1.0
4.324 0.000 0.000
0.000 5.657 0.000
0.000 0.000 4.324
Be Br Ga Se
2 1 1 1
Direct
0.500 0.000 0.000
0.000 0.000 0.500
0.500 0.500 0.500
0.000 0.000 0.000
0.000 0.500 0.000